# GGA-PBE NdYSi2, relaxed
# **Relative energy among the computed polymorphs**: 0.303 eV/atom
# **Energy relative to the elements, uncorrected**: -0.49 eV/atom
# **Mass density**: 4.887 Mg/m³
data_NdYSi2
_chemical_formula_sum 'Nd3 Y3 Si6'
_cell_length_a 4.6547
_cell_length_b 4.6547
_cell_length_c 15.7184
_cell_angle_alpha 90.00
_cell_angle_beta 90.00
_cell_angle_gamma 120.00
_symmetry_space_group_name_H-M 'R -3 m'
_symmetry_Int_Tables_number 166
_symmetry_space_group_name_Hall '-R 3 2"'
loop_
_atom_site_label
_atom_site_type_symbol
_atom_site_fract_x
_atom_site_fract_y
_atom_site_fract_z
_atom_site_occupancy
Nd1 Nd 0.0000 0.0000 0.0000 1
Y1 Y 0.0000 0.0000 0.5000 1
Si1 Si 0.0000 0.0000 0.2426 1



# GGA-PBE Li2Ac2Ga3, relaxed
# **Relative energy among the computed polymorphs**: 0.000 eV/atom
# **Mass density**: 6.411 Mg/m³
# **DFT formation energy**: -0.401 eV/atom
data_Li2Ac2Ga3
_chemical_formula_sum 'Li8 Ac8 Ga12'
_cell_length_a 4.603
_cell_length_b 20.070
_cell_length_c 7.593
_cell_angle_alpha 90.00
_cell_angle_beta 90.00
_cell_angle_gamma 90.00
_symmetry_space_group_name_H-M 'C m c m'
_symmetry_Int_Tables_number 63
_symmetry_space_group_name_Hall '-C 2c 2'
loop_
_atom_site_label
_atom_site_type_symbol
_atom_site_fract_x
_atom_site_fract_y
_atom_site_fract_z
_atom_site_occupancy
Li1 Li 0.000 0.190 0.060 1
Ac1 Ac 0.000 0.344 0.250 1
Ac2 Ac 0.000 0.441 0.750 1
Ga1 Ga 0.000 0.056 0.578 1
Ga2 Ga 0.000 0.275 0.750 1



# GGA-PBE BaAc2Pm, relaxed
# **Relative energy among the computed polymorphs**: 0.096 eV/atom
# **Mass density**: 6.677 Mg/m³
# **DFT formation energy**: 0.157 eV/atom
data_BaAc2Pm
_chemical_formula_sum 'Ba3 Ac6 Pm3'
_cell_length_a 3.9079
_cell_length_b 3.9079
_cell_length_c 41.5406
_cell_angle_alpha 90.00
_cell_angle_beta 90.00
_cell_angle_gamma 120.00
_symmetry_space_group_name_H-M 'R -3 m'
_symmetry_Int_Tables_number 166
_symmetry_space_group_name_Hall '-R 3 2"'
loop_
_atom_site_label
_atom_site_type_symbol
_atom_site_fract_x
_atom_site_fract_y
_atom_site_fract_z
_atom_site_occupancy
Ba1 Ba 0.0000 0.0000 0.0000 1
Ac1 Ac 0.0000 0.0000 0.0936 1
Pm1 Pm 0.0000 0.0000 0.5000 1



Which formula does entry 2 have?
Li2Ac2Ga3



Copy entry 2 word for word.
# GGA-PBE Li2Ac2Ga3, relaxed
# **Relative energy among the computed polymorphs**: 0.000 eV/atom
# **Mass density**: 6.411 Mg/m³
# **DFT formation energy**: -0.401 eV/atom
data_Li2Ac2Ga3
_chemical_formula_sum 'Li8 Ac8 Ga12'
_cell_length_a 4.603
_cell_length_b 20.070
_cell_length_c 7.593
_cell_angle_alpha 90.00
_cell_angle_beta 90.00
_cell_angle_gamma 90.00
_symmetry_space_group_name_H-M 'C m c m'
_symmetry_Int_Tables_number 63
_symmetry_space_group_name_Hall '-C 2c 2'
loop_
_atom_site_label
_atom_site_type_symbol
_atom_site_fract_x
_atom_site_fract_y
_atom_site_fract_z
_atom_site_occupancy
Li1 Li 0.000 0.190 0.060 1
Ac1 Ac 0.000 0.344 0.250 1
Ac2 Ac 0.000 0.441 0.750 1
Ga1 Ga 0.000 0.056 0.578 1
Ga2 Ga 0.000 0.275 0.750 1